This record from Alexandria via LeMat-Bulk describes VC2O6 after structural relaxation. The functional is PBE+U.

Unit cell a=8.4049 b=8.4049 c=8.4049 alpha=107.28 beta=107.28 gamma=113.96
Last column: nearest neighbours and their distance in Å.
Positions (direct):
V 0.0904 0.1250 0.4654  6 O 1.89-1.98
V 0.3750 0.9096 0.0346  6 O 1.89-1.98
V 0.6596 0.6250 0.5346  6 O 1.89-1.98
V 0.8750 0.3404 0.9654  6 O 1.89-1.98
C 0.0568 0.7993 0.1548  3 O 1.28-1.29
C 0.0981 0.9432 0.7425  3 O 1.28-1.29
C 0.1055 0.4507 0.7575  3 O 1.28-1.29
C 0.2007 0.3555 0.2575  3 O 1.28-1.29
C 0.5493 0.3068 0.6548  3 O 1.28-1.29
C 0.6445 0.9019 0.8452  3 O 1.28-1.29
C 0.6519 0.8945 0.3452  3 O 1.28-1.29
C 0.6932 0.3481 0.2425  3 O 1.28-1.29
O 0.0770 0.2184 0.2749  1 C 1.28
O 0.0821 0.0364 0.6468  1 C 1.29
O 0.1415 0.4138 0.1398  1 C 1.29
O 0.1638 0.3915 0.6398  1 C 1.29
O 0.1853 0.6396 0.8532  1 C 1.29
O 0.1979 0.9230 0.1414  1 C 1.28
O 0.2741 0.0017 0.8602  1 C 1.29
O 0.3604 0.2136 0.5457  1 C 1.29
O 0.3896 0.4353 0.3532  1 C 1.29
O 0.4759 0.8362 0.2277  1 C 1.29
O 0.5521 0.1935 0.2251  1 C 1.28
O 0.5647 0.9179 0.9543  1 C 1.29
O 0.5862 0.7259 0.7277  1 C 1.29
O 0.6085 0.2483 0.7723  1 C 1.29
O 0.6679 0.8147 0.4543  1 C 1.29
O 0.6730 0.4479 0.6414  1 C 1.28
O 0.7517 0.5241 0.3602  1 C 1.29
O 0.7816 0.0565 0.8586  1 C 1.28
O 0.7864 0.3321 0.1468  1 C 1.29
O 0.8065 0.0316 0.3586  1 C 1.28
O 0.9435 0.8021 0.7251  1 C 1.28
O 0.9636 0.6104 0.0457  1 C 1.29
O 0.9684 0.3270 0.7749  1 C 1.28
O 0.9983 0.8585 0.2723  1 C 1.29

Output
**Space group**: No. 122
**Calculated total energy**: -275.6 eV per cell
**Spin magnetization**: 0.99 μB/f.u.